# 1
Entry from Alexandria via LeMat-Bulk: ErTh12Sc6 after structural relaxation (PBE).

E_form ... 249 meV per atom
SG ... Im-3, No. 204
D(E_F) ... 29.8 states/eV/f.u.
VASP energy ... -6.68 eV per atom
Total moment ... 0.00 μB per formula unit

a b c (Å): 9.0403 9.0403 9.0403
angles (deg): 109.47 109.47 109.47
Positions (direct):
Th: 0.9146 0.1829 0.7317
Sc: 0.6475 0.5000 0.1475
Th: 0.2683 0.0854 0.8171
Sc: 0.5000 0.1475 0.6475
Th: 0.8171 0.2683 0.0854
Er: 0.0000 0.0000 0.0000
Th: 0.8171 0.7317 0.5488
Sc: 0.5000 0.8525 0.3525
Th: 0.7317 0.5488 0.8171
Th: 0.1829 0.2683 0.4512
Th: 0.4512 0.1829 0.2683
Th: 0.1829 0.7317 0.9146
Sc: 0.8525 0.3525 0.5000
Sc: 0.3525 0.5000 0.8525
Sc: 0.1475 0.6475 0.5000
Th: 0.0854 0.8171 0.2683
Th: 0.2683 0.4512 0.1829
Th: 0.7317 0.9146 0.1829
Th: 0.5488 0.8171 0.7317

# 2
Entry from Alexandria via LeMat-Bulk: Hf2InPb after structural relaxation (PBE).

E_form ... 230 meV per atom
SG ... I-42d, No. 122
D(E_F) ... 2.0 states/eV/f.u.
ΔE to the lowest computed polymorph ... 245.0 meV per atom
VASP energy ... -6.36 eV per atom
Total moment ... 0.00 μB per formula unit

a b c (Å): 7.9627 7.9627 6.4251
angles (deg): 51.71 51.71 90.00
Positions (direct):
Pb: 0.7500 0.2500 0.5000
Pb: 0.0000 0.0000 0.0000
In: 0.5000 0.5000 0.0000
In: 0.2500 0.7500 0.5000
Hf: 0.6244 0.1250 0.2500
Hf: 0.3750 0.3756 0.7500
Hf: 0.8750 0.8744 0.7500
Hf: 0.1256 0.6250 0.2500

# 3
Entry from Alexandria via LeMat-Bulk: CdCu4Cl after structural relaxation (PBE).

SG ... F-43m, No. 216
D(E_F) ... 3.9 states/eV/f.u.
VASP energy ... -3.00 eV per atom
Total moment ... 0.00 μB per formula unit
Formation energy (no corrections) ... 191.3 meV per atom

a b c (Å): 5.0974 5.0974 5.0974
angles (deg): 60.00 60.00 60.00
Positions (direct):
Cl: 0.0000 0.0000 0.0000
Cu: 0.3751 0.3751 0.3751
Cd: 0.7500 0.7500 0.7500
Cu: 0.8746 0.3751 0.3751
Cu: 0.3751 0.8746 0.3751
Cu: 0.3751 0.3751 0.8746